1.
Computed, not measured: a relaxed HfBeBr2 crystal at the PBE level of DFT.

Properties
E_tot = -3.7166 eV/atom
space group = No. 122
ΔE_f (raw) = 0.540 eV per atom
polymorph energy (0 for the lowest one) = 50.63 kJ per mole of atoms

Lattice parameters (Å, degrees): 5.905 5.905 6.574 63.31 63.31 90.00
Sites, in units of the cell vectors:
1 Br 0.551 0.125 0.250
2 Br 0.375 0.449 0.750
3 Br 0.875 0.801 0.750
4 Br 0.199 0.625 0.250
5 Hf 0.750 0.250 0.500
6 Hf 0.000 0.000 0.000
7 Be 0.500 0.500 0.000
8 Be 0.250 0.750 0.500

***

2.
Computed, not measured: a relaxed HfBe2Br crystal at the PBE level of DFT.

Properties
E_tot = -3.7222 eV/atom
space group = No. 225
ΔE_f (raw) = 1.047 eV per atom
polymorph energy (0 for the lowest one) = 38.20 kJ per mole of atoms

Lattice parameters (Å, degrees): 4.549 4.549 4.549 60.00 60.00 60.00
Sites, in units of the cell vectors:
1 Be 0.750 0.750 0.750
2 Be 0.250 0.250 0.250
3 Br 0.000 0.000 0.000
4 Hf 0.500 0.500 0.500

***

3.
Computed, not measured: a relaxed HfBe3Br crystal at the PBE level of DFT.

Properties
E_tot = -3.2247 eV/atom
space group = No. 221
ΔE_f (raw) = 1.336 eV per atom
polymorph energy (0 for the lowest one) = 0.00 kJ per mole of atoms

Lattice parameters (Å, degrees): 4.343 4.343 4.343 90.00 90.00 90.00
Sites, in units of the cell vectors:
1 Br 0.000 0.000 0.000
2 Be 0.000 0.500 0.000
3 Be 0.500 0.000 0.000
4 Be 0.000 0.000 0.500
5 Hf 0.500 0.500 0.500

***

4.
Computed, not measured: a relaxed HfBeBr3 crystal at the PBE level of DFT.

Properties
E_tot = -3.4978 eV/atom
space group = No. 221
ΔE_f (raw) = 0.242 eV per atom

Lattice parameters (Å, degrees): 4.776 4.776 4.776 90.00 90.00 90.00
Last column: magnetic moment on the atom in μB.
Sites, in units of the cell vectors:
1 Hf 0.500 0.500 0.500  1.19
2 Br 0.000 0.000 0.500  -0.01
3 Br 0.000 0.500 0.000  -0.01
4 Br 0.500 0.000 0.000  -0.01
5 Be 0.000 0.000 0.000  -0.03